A relaxed structure of Ac2SmTm, computed with PBE. Values from VASP.

Formation energy from the elements   0.101 eV per atom
DFT total energy   -4.2505 eV/atom

```
&SYSTEM
  ibrav = 0, nat = 4, ntyp = 3
/
ATOMIC_SPECIES
Ac 227.00 Ac.upf
Sm 150.36 Sm.upf
Tm 168.93 Tm.upf
CELL_PARAMETERS angstrom
-3.394 -4.336 -2.384
2.227 -3.520 -4.319
1.235 -5.757 1.160
ATOMIC_POSITIONS crystal
Ac 0.250 0.250 0.250
Ac 0.750 0.750 0.750
Sm 0.500 0.500 0.500
Tm 0.000 0.000 0.000
```

***

A relaxed structure of AcSm15Tm4, computed with PBE. Values from VASP.

Formation energy from the elements   0.024 eV per atom
DFT total energy   -4.6153 eV/atom

```
&SYSTEM
  ibrav = 0, nat = 20, ntyp = 3
/
ATOMIC_SPECIES
Tm 168.93 Tm.upf
Sm 150.36 Sm.upf
Ac 227.00 Ac.upf
CELL_PARAMETERS angstrom
-1.116 0.106 4.995
-1.602 -4.855 -0.255
23.623 -8.082 5.450
ATOMIC_POSITIONS crystal
Tm 0.000 0.000 0.204
Tm 0.000 0.000 0.599
Tm 0.000 0.000 0.796
Tm 0.000 0.000 0.401
Sm 0.500 0.000 0.500
Sm 0.000 0.500 0.106
Sm 0.000 0.500 0.697
Sm 0.500 0.000 0.303
Sm 0.000 0.500 0.500
Sm 0.000 0.500 0.894
Sm 0.500 0.500 0.205
Sm 0.500 0.000 0.106
Sm 0.500 0.500 0.598
Sm 0.500 0.500 0.402
Sm 0.500 0.500 0.000
Sm 0.500 0.000 0.894
Sm 0.000 0.500 0.303
Sm 0.500 0.500 0.795
Sm 0.500 0.000 0.697
Ac 0.000 0.000 0.000
```